This record from Alexandria describes a relaxed structure of Sm2ThPb. The functional is PBE.

a = 3.594 Å, b = 3.594 Å, c = 12.284 Å
α = 81.59°, β = 81.59°, γ = 60.00°
Atoms (fractional coordinates):
Th: 0.500 0.500 0.500
Pb: 0.000 0.000 0.000
Sm: 0.089 0.089 0.733
Sm: 0.911 0.911 0.267

The value obtained for the total energy is -0.37508 Ry/atom. The value obtained for the energy above the most stable polymorph in this dataset is 0.296 eV/atom. As for the crystal system: trigonal.